(1)
# AgSbAsI2 | the Alexandria database | PBE | relaxed
data_AgSbAsI2
_symmetry_space_group_name_H-M 'P 4/m m m'
_symmetry_Int_Tables_number 123
_symmetry_space_group_name_Hall '-P 4 2'
_cell_length_a 5.664
_cell_length_b 5.664
_cell_length_c 5.595
_cell_angle_alpha 90.00
_cell_angle_beta 90.00
_cell_angle_gamma 90.00
loop_
_atom_site_label
_atom_site_type_symbol
_atom_site_fract_x
_atom_site_fract_y
_atom_site_fract_z
Ag1 Ag 0.000 0.000 0.000
Sb1 Sb 0.500 0.500 0.000
As1 As 0.500 0.500 0.500
I1 I 0.000 0.500 0.500
# - uncorrected formation energy (eV/atom) = 0.542
# - E above lowest polymorph (meV/atom) = 0
# - density of states at the Fermi level (states/eV per cell) = 3.50

(2)
# AcMoRh2 | the Alexandria database | PBE | relaxed
data_AcMoRh2
_symmetry_space_group_name_H-M 'R -3 m'
_symmetry_Int_Tables_number 166
_symmetry_space_group_name_Hall '-R 3 2"'
_cell_length_a 4.3375
_cell_length_b 4.3375
_cell_length_c 16.4388
_cell_angle_alpha 90.00
_cell_angle_beta 90.00
_cell_angle_gamma 120.00
loop_
_atom_site_label
_atom_site_type_symbol
_atom_site_fract_x
_atom_site_fract_y
_atom_site_fract_z
Ac1 Ac 0.0000 0.0000 0.0000
Mo1 Mo 0.0000 0.0000 0.5000
Rh1 Rh 0.0000 0.0000 0.2066
# - formation energy from the elements (eV/atom) = -0.180
# - density of states at the Fermi level (states/eV per cell) = 13.57

(3)
# Li8InSn6 | the Alexandria database | PBE | relaxed
data_Li8InSn6
_symmetry_space_group_name_H-M 'R -3'
_symmetry_Int_Tables_number 148
_symmetry_space_group_name_Hall '-R 3'
_cell_length_a 8.0150
_cell_length_b 8.0150
_cell_length_c 17.1318
_cell_angle_alpha 90.00
_cell_angle_beta 90.00
_cell_angle_gamma 120.00
loop_
_atom_site_label
_atom_site_type_symbol
_atom_site_fract_x
_atom_site_fract_y
_atom_site_fract_z
Li1 Li 0.0000 0.0000 0.2335
Li2 Li 0.0269 0.2721 0.3897
In1 In 0.0000 0.0000 0.5000
Sn1 Sn 0.0255 0.2549 0.9003
# - formation energy from the elements (eV/atom) = -0.213
# - density of states at the Fermi level (states/eV per cell) = 14.13

(4)
# Tl2ZnBCl | the Alexandria database | PBE | relaxed
data_Tl2ZnBCl
_symmetry_space_group_name_H-M 'P 4/m m m'
_symmetry_Int_Tables_number 123
_symmetry_space_group_name_Hall '-P 4 2'
_cell_length_a 5.346
_cell_length_b 5.346
_cell_length_c 4.070
_cell_angle_alpha 90.00
_cell_angle_beta 90.00
_cell_angle_gamma 90.00
loop_
_atom_site_label
_atom_site_type_symbol
_atom_site_fract_x
_atom_site_fract_y
_atom_site_fract_z
Tl1 Tl 0.000 0.500 0.000
Zn1 Zn 0.000 0.000 0.500
B1 B 0.000 0.000 0.000
Cl1 Cl 0.500 0.500 0.500
# - uncorrected formation energy (eV/atom) = 0.078
# - density of states at the Fermi level (states/eV per cell) = 1.28

(5)
# AlAgRu | the Alexandria database | PBE | relaxed
data_AlAgRu
_symmetry_space_group_name_H-M 'F -4 3 m'
_symmetry_Int_Tables_number 216
_symmetry_space_group_name_Hall 'F -4 2 3'
_cell_length_a 5.890
_cell_length_b 5.890
_cell_length_c 5.890
_cell_angle_alpha 90.00
_cell_angle_beta 90.00
_cell_angle_gamma 90.00
loop_
_atom_site_label
_atom_site_type_symbol
_atom_site_fract_x
_atom_site_fract_y
_atom_site_fract_z
Al1 Al 0.000 0.000 0.000
Ag1 Ag 0.250 0.250 0.750
Ru1 Ru 0.250 0.250 0.250
# - formation energy from the elements (eV/atom) = 0.186
# - E above lowest polymorph (meV/atom) = 241
# - density of states at the Fermi level (states/eV per cell) = 8.07

(6)
# In2Cu2Pt | the Alexandria database | PBE | relaxed
data_In2Cu2Pt
_symmetry_space_group_name_H-M 'P 4/m b m'
_symmetry_Int_Tables_number 127
_symmetry_space_group_name_Hall '-P 4 2ab'
_cell_length_a 6.892
_cell_length_b 6.892
_cell_length_c 3.547
_cell_angle_alpha 90.00
_cell_angle_beta 90.00
_cell_angle_gamma 90.00
loop_
_atom_site_label
_atom_site_type_symbol
_atom_site_fract_x
_atom_site_fract_y
_atom_site_fract_z
In1 In 0.174 0.326 0.000
Cu1 Cu 0.127 0.627 0.500
Pt1 Pt 0.000 0.000 0.500
# - formation energy from the elements (eV/atom) = -0.037
# - E above lowest polymorph (meV/atom) = 53
# - density of states at the Fermi level (states/eV per cell) = 1.96

(7)
# Ac3ErPb12 | the Alexandria database | PBE | relaxed
data_Ac3ErPb12
_symmetry_space_group_name_H-M 'P 4/m m m'
_symmetry_Int_Tables_number 123
_symmetry_space_group_name_Hall '-P 4 2'
_cell_length_a 5.043
_cell_length_b 5.043
_cell_length_c 19.854
_cell_angle_alpha 90.00
_cell_angle_beta 90.00
_cell_angle_gamma 90.00
loop_
_atom_site_label
_atom_site_type_symbol
_atom_site_fract_x
_atom_site_fract_y
_atom_site_fract_z
Ac1 Ac 0.000 0.000 0.000
Ac2 Ac 0.000 0.000 0.256
Er1 Er 0.000 0.000 0.500
Pb1 Pb 0.000 0.500 0.128
Pb2 Pb 0.000 0.500 0.385
Pb3 Pb 0.500 0.500 0.000
Pb4 Pb 0.500 0.500 0.255
Pb5 Pb 0.500 0.500 0.500
# - formation energy from the elements (eV/atom) = -0.372
# - density of states at the Fermi level (states/eV per cell) = 6.67

(8)
# LaZrZn2Cu | the Alexandria database | PBE | relaxed
data_LaZrZn2Cu
_symmetry_space_group_name_H-M 'P 4/m m m'
_symmetry_Int_Tables_number 123
_symmetry_space_group_name_Hall '-P 4 2'
_cell_length_a 4.638
_cell_length_b 4.638
_cell_length_c 5.122
_cell_angle_alpha 90.00
_cell_angle_beta 90.00
_cell_angle_gamma 90.00
loop_
_atom_site_label
_atom_site_type_symbol
_atom_site_fract_x
_atom_site_fract_y
_atom_site_fract_z
La1 La 0.000 0.000 0.000
Zr1 Zr 0.500 0.500 0.000
Zn1 Zn 0.000 0.500 0.500
Cu1 Cu 0.500 0.500 0.500
# - formation energy from the elements (eV/atom) = 0.122
# - density of states at the Fermi level (states/eV per cell) = 5.54

(9)
# YOs4W | the Alexandria database | PBE | relaxed
data_YOs4W
_symmetry_space_group_name_H-M 'F -4 3 m'
_symmetry_Int_Tables_number 216
_symmetry_space_group_name_Hall 'F -4 2 3'
_cell_length_a 7.391
_cell_length_b 7.391
_cell_length_c 7.391
_cell_angle_alpha 90.00
_cell_angle_beta 90.00
_cell_angle_gamma 90.00
loop_
_atom_site_label
_atom_site_type_symbol
_atom_site_fract_x
_atom_site_fract_y
_atom_site_fract_z
Y1 Y 0.000 0.000 0.000
Os1 Os 0.125 0.125 0.625
W1 W 0.250 0.250 0.250
# - formation energy from the elements (eV/atom) = 0.203
# - density of states at the Fermi level (states/eV per cell) = 25.71

(10)
# Dy2PdF | the Alexandria database | PBE | relaxed
data_Dy2PdF
_symmetry_space_group_name_H-M 'R -3 m'
_symmetry_Int_Tables_number 166
_symmetry_space_group_name_Hall '-R 3 2"'
_cell_length_a 4.0236
_cell_length_b 4.0236
_cell_length_c 17.8147
_cell_angle_alpha 90.00
_cell_angle_beta 90.00
_cell_angle_gamma 120.00
loop_
_atom_site_label
_atom_site_type_symbol
_atom_site_fract_x
_atom_site_fract_y
_atom_site_fract_z
Dy1 Dy 0.0000 0.0000 0.2447
Pd1 Pd 0.0000 0.0000 0.0000
F1 F 0.0000 0.0000 0.5000
# - uncorrected formation energy (eV/atom) = -1.553
# - density of states at the Fermi level (states/eV per cell) = 5.72

(11)
# Nd6PC2Cl3 | the Alexandria database | PBE | relaxed
data_Nd6PC2Cl3
_symmetry_space_group_name_H-M 'C 1 2/m 1'
_symmetry_Int_Tables_number 12
_cell_length_a 18.174
_cell_length_b 3.889
_cell_length_c 8.452
_cell_angle_alpha 90.00
_cell_angle_beta 108.75
_cell_angle_gamma 90.00
loop_
_symmetry_equiv_pos_as_xyz
'x,y,z'
'-x,-y,-z'
'-x,y,-z'
'x,-y,z'
'x+1/2,y+1/2,z'
'-x+1/2,-y+1/2,-z'
'-x+1/2,y+1/2,-z'
'x+1/2,-y+1/2,z'
loop_
_atom_site_label
_atom_site_type_symbol
_atom_site_fract_x
_atom_site_fract_y
_atom_site_fract_z
Nd1 Nd 0.023 0.000 0.246
Nd2 Nd 0.166 0.500 0.133
Nd3 Nd 0.181 0.500 0.553
P1 P 0.000 0.500 0.000
C1 C 0.169 0.000 0.335
Cl1 Cl 0.000 0.500 0.500
Cl2 Cl 0.165 0.000 0.829
# - uncorrected formation energy (eV/atom) = -1.214
# - density of states at the Fermi level (states/eV per cell) = 7.88

(12)
# SrAcZn | the Alexandria database | PBE | relaxed
data_SrAcZn
_symmetry_space_group_name_H-M 'P 3 m 1'
_symmetry_Int_Tables_number 156
_cell_length_a 5.4402
_cell_length_b 5.4402
_cell_length_c 4.3216
_cell_angle_alpha 90.00
_cell_angle_beta 90.00
_cell_angle_gamma 120.00
loop_
_symmetry_equiv_pos_as_xyz
'x,y,z'
'-y,x-y,z'
'-x+y,-x,z'
'-y,-x,z'
'-x+y,y,z'
'x,x-y,z'
loop_
_atom_site_label
_atom_site_type_symbol
_atom_site_fract_x
_atom_site_fract_y
_atom_site_fract_z
Sr1 Sr 0.0000 0.0000 0.0000
Ac1 Ac 0.6667 0.3333 0.5151
Zn1 Zn 0.3333 0.6667 0.2721
# - formation energy from the elements (eV/atom) = 0.072
# - E above lowest polymorph (meV/atom) = 204
# - density of states at the Fermi level (states/eV per cell) = 3.27

> The lowest density of states at the Fermi level belongs to which entry?

Tl2ZnBCl

> What is the formula in the seventh record?

Ac3ErPb12